(1)
A relaxed structure of Ac3NdTh2Sb6. Source: Alexandria via LeMat-Bulk, functional PBE.

As for the space group: No. 12. For the electronic total energy, the calculation gives -5.84 eV/atom. The calculation puts the volume at 426.20 Å³/f.u.

Lattice parameters (Å, degrees): 8.035 8.035 8.082 99.52 99.52 120.04
Fractional coordinates of all 12 atoms:
Sb1 0.742 0.742 0.233
Sb2 0.922 0.587 0.767
Sb3 0.078 0.413 0.233
Sb4 0.258 0.258 0.767
Sb5 0.413 0.078 0.233
Sb6 0.587 0.922 0.767
Ac1 0.166 0.834 0.500
Ac2 0.500 0.500 0.500
Ac3 0.834 0.166 0.500
Nd1 0.000 0.000 0.000
Th1 0.667 0.333 0.000
Th2 0.333 0.667 0.000

=====

(2)
A relaxed structure of TaTlS2. Source: Alexandria via LeMat-Bulk, functional PBE.

As for the space group: No. 33. For the electronic total energy, the calculation gives -6.02 eV/atom. The calculation puts the volume at 110.19 Å³/f.u.

Lattice parameters (Å, degrees): 6.698 9.334 7.050 90.00 90.00 90.00
Fractional coordinates of all 16 atoms:
Tl1 0.930 0.708 0.530
Tl2 0.430 0.792 0.530
Tl3 0.070 0.292 0.030
Tl4 0.570 0.208 0.030
S1 0.030 0.362 0.486
S2 0.470 0.862 0.986
S3 0.503 0.510 0.246
S4 0.497 0.490 0.746
S5 0.997 0.010 0.746
S6 0.970 0.638 0.986
S7 0.530 0.138 0.486
S8 0.003 0.990 0.246
Ta1 0.880 0.133 0.487
Ta2 0.380 0.367 0.487
Ta3 0.120 0.867 0.987
Ta4 0.620 0.633 0.987

=====

(3)
A relaxed structure of EuZn2Cd. Source: Alexandria via LeMat-Bulk, functional PBE.

As for the space group: No. 123. For the electronic total energy, the calculation gives -3.55 eV/atom. Its formation enthalpy at 0 K is -0.115 eV/atom. As for the excess energy over the best structure of this formula in the dataset: 0.124 eV per atom. The calculation puts the volume at 91.56 Å³/f.u.

Lattice parameters (Å, degrees): 3.652 3.652 6.866 90.00 90.00 90.00
Fractional coordinates of all 4 atoms:
Eu1 0.500 0.500 0.500
Zn1 0.000 0.000 0.212
Zn2 0.000 0.000 0.788
Cd1 0.500 0.500 0.000

=====

(4)
A relaxed structure of Rb2ZnSb2. Source: Alexandria via LeMat-Bulk, functional PBE.

As for the space group: No. 127. For the electronic total energy, the calculation gives -2.51 eV/atom. As for the excess energy over the best structure of this formula in the dataset: 0.000 eV per atom. The calculation puts the volume at 174.35 Å³/f.u.

Lattice parameters (Å, degrees): 7.593 7.593 6.048 90.00 90.00 90.00
Fractional coordinates of all 10 atoms:
Rb1 0.832 0.332 0.500
Rb2 0.168 0.668 0.500
Rb3 0.332 0.168 0.500
Rb4 0.668 0.832 0.500
Sb1 0.140 0.360 0.000
Sb2 0.860 0.640 0.000
Sb3 0.360 0.860 0.000
Sb4 0.640 0.140 0.000
Zn1 0.500 0.500 0.000
Zn2 0.000 0.000 0.000

=====

(5)
A relaxed structure of P2PtClO. Source: Alexandria via LeMat-Bulk, functional PBE.

As for the space group: No. 123. For the electronic total energy, the calculation gives -3.69 eV/atom. As for the excess energy over the best structure of this formula in the dataset: 0.469 eV per atom. The calculation puts the volume at 104.03 Å³/f.u.

Lattice parameters (Å, degrees): 4.638 4.638 4.837 90.00 90.00 90.00
Fractional coordinates of all 5 atoms:
Pt1 0.000 0.000 0.000
O1 0.500 0.500 0.500
P1 0.500 0.000 0.000
P2 0.000 0.500 0.000
Cl1 0.000 0.000 0.500

=====

(6)
A relaxed structure of Ca2EuMg. Source: Alexandria via LeMat-Bulk, functional PBE.

As for the space group: No. 166. For the electronic total energy, the calculation gives -3.92 eV/atom. Its formation enthalpy at 0 K is 0.045 eV/atom. As for the excess energy over the best structure of this formula in the dataset: 0.046 eV per atom. The calculation puts the volume at 151.35 Å³/f.u.

Lattice parameters (Å, degrees): 3.831 3.831 12.112 80.90 80.90 60.00
Fractional coordinates of all 4 atoms:
Ca1 0.742 0.742 0.774
Ca2 0.258 0.258 0.226
Mg1 0.000 0.000 0.000
Eu1 0.500 0.500 0.500

=====

What is the formula in the first record? Ac3NdTh2Sb6

=====

Look up the electronic total energy of the third one. -3.55 eV/atom